Record 1
First-principles (PBE-GGA) data for a geometry-optimized Sc2Al3Hg3 structure, as listed in the Open Quantum Materials Database.

Values from the calculation:
- relative energy among the computed polymorphs (meV/atom) = 7.7
- ρ (g/cm3) = 8.1
- calculated volume (Å³ per atom) = 19.707
- crystal system = monoclinic
- VASP energy (eV per atom) = -3.347

POSCAR file:
```
Sc2Al3Hg3
1.0
-0.334 -2.634 5.438
4.753 -0.858 -0.124
1.082 6.029 -0.258
Al Hg Sc
3 3 2
Cartesian
0.066 0.131 1.641
2.661 1.036 0.708
3.069 2.894 3.491
-0.087 -1.117 4.400
0.453 1.881 4.350
3.216 4.094 0.792
2.529 -0.090 3.443
0.590 3.032 1.643
```


Record 2
First-principles (PBE-GGA) data for a geometry-optimized Er2TmAl3Ge2Au structure, as listed in the Open Quantum Materials Database.

Values from the calculation:
- ρ (g/cm3) = 8.6
- calculated volume (Å³ per atom) = 19.987
- crystal system = orthorhombic
- VASP energy (eV per atom) = -4.856

POSCAR file:
```
Er2TmAl3Ge2Au
1.0
4.220 0.000 0.000
0.000 6.075 3.508
0.000 -6.075 3.508
Al Au Er Ge Tm
3 1 2 2 1
Cartesian
2.110 1.459 0.844
2.110 -1.459 0.844
2.110 0.000 5.330
0.000 0.000 0.008
0.000 2.507 5.567
0.000 -2.507 5.567
2.110 2.019 3.506
2.110 -2.019 3.506
0.000 0.000 2.894
```


Record 3
First-principles (PBE-GGA) data for a geometry-optimized ErBiPt structure, as listed in the Open Quantum Materials Database.

Values from the calculation:
- ρ (g/cm3) = 12.7
- calculated volume (Å³ per atom) = 24.920
- crystal system = cubic
- VASP energy (eV per atom) = -5.927

POSCAR file:
```
ErBiPt
1.0
-3.153 3.129 -1.621
2.953 1.210 3.489
1.650 -0.610 -4.389
Bi Er Pt
1 1 1
Cartesian
0.000 0.000 0.000
-0.751 1.260 -3.005
-0.476 2.799 -0.568
```


Record 4
First-principles (PBE-GGA) data for a geometry-optimized ScTl2ZnCl6 structure, as listed in the Open Quantum Materials Database.

Values from the calculation:
- ρ (g/cm3) = 4.5
- calculated volume (Å³ per atom) = 27.194
- crystal system = cubic
- VASP energy (eV per atom) = -3.621

POSCAR file:
```
ScTl2ZnCl6
1.0
0.000 5.142 5.142
5.142 0.000 5.142
5.142 5.142 0.000
Cl Sc Tl Zn
6 1 2 1
Cartesian
2.506 5.142 5.142
5.142 2.506 5.142
5.142 5.142 7.778
5.142 5.142 2.506
5.142 7.778 5.142
7.778 5.142 5.142
0.000 0.000 0.000
2.571 2.571 2.571
7.713 7.713 7.713
5.142 5.142 5.142
```


Record 5
First-principles (PBE-GGA) data for a geometry-optimized HfAlB structure, as listed in the Open Quantum Materials Database.

Values from the calculation:
- relative energy among the computed polymorphs (meV/atom) = 980.5
- ρ (g/cm3) = 6.8
- calculated volume (Å³ per atom) = 17.531
- crystal system = cubic
- VASP energy (eV per atom) = -5.968

POSCAR file:
```
HfAlB
1.0
0.000 2.974 2.974
2.974 0.000 2.974
2.974 2.974 0.000
Al B Hf
1 1 1
Cartesian
1.487 1.487 1.487
4.461 4.461 4.461
0.000 0.000 0.000
```


Record 6
First-principles (PBE-GGA) data for a geometry-optimized LaZrNO structure, as listed in the Open Quantum Materials Database.

Values from the calculation:
- relative energy among the computed polymorphs (meV/atom) = 124.7
- ρ (g/cm3) = 6.0
- calculated volume (Å³ per atom) = 17.851
- crystal system = orthorhombic
- VASP energy (eV per atom) = -8.523

POSCAR file:
```
LaZrNO
1.0
-0.812 0.631 -5.311
6.345 -1.937 -1.200
-2.372 -7.445 -0.522
La N O Zr
4 4 4 4
Cartesian
0.088 -1.082 -0.332
2.002 -1.474 -3.427
1.509 -7.549 -1.318
3.424 -7.941 -4.413
-0.289 -0.998 -2.913
2.286 -1.976 -0.668
1.257 -7.072 -3.872
3.832 -8.049 -1.627
2.159 -3.975 -4.273
4.676 -4.935 -2.017
-1.319 -3.968 -3.740
1.198 -4.928 -1.484
2.988 -3.812 -1.036
4.398 -4.050 -4.035
-0.867 -4.988 -0.586
0.542 -5.226 -3.585
```


Record 7
First-principles (PBE-GGA) data for a geometry-optimized PrInPbSe3 structure, as listed in the Open Quantum Materials Database.

Values from the calculation:
- ρ (g/cm3) = 6.9
- calculated volume (Å³ per atom) = 28.136
- crystal system = orthorhombic
- VASP energy (eV per atom) = -4.424

POSCAR file:
```
PrInPbSe3
1.0
-1.135 5.067 -5.394
-1.221 -1.832 7.156
9.085 5.064 2.846
In Pb Pr Se
2 2 2 6
Cartesian
1.097 3.186 1.042
5.633 5.113 3.567
1.073 1.192 4.670
5.657 7.107 -0.061
0.000 0.000 0.000
4.543 2.532 1.423
-0.889 2.782 -0.871
1.128 5.625 -3.395
3.102 5.006 0.379
3.628 3.293 4.229
5.602 2.674 8.003
7.619 5.517 5.479
```


Record 8
First-principles (PBE-GGA) data for a geometry-optimized DyHo2Fe6CoNi2 structure, as listed in the Open Quantum Materials Database.

Values from the calculation:
- ρ (g/cm3) = 9.5
- calculated volume (Å³ per atom) = 14.684
- crystal system = trigonal
- VASP energy (eV per atom) = -6.979

POSCAR file:
```
DyHo2Fe6CoNi2
1.0
-1.726 8.396 -1.462
-1.271 7.871 3.469
2.796 8.210 0.615
Co Dy Fe Ho Ni
1 1 6 2 2
Cartesian
-0.100 12.239 1.312
0.000 0.000 0.000
-1.516 10.150 1.220
-0.948 14.420 0.363
-0.720 14.157 2.832
0.519 10.320 -0.208
0.747 10.058 2.260
1.316 14.327 1.403
-0.028 3.472 0.372
-0.172 21.005 2.251
-0.067 8.147 0.873
-0.134 16.330 1.750
```


Record 9
First-principles (PBE-GGA) data for a geometry-optimized AlHgAs structure, as listed in the Open Quantum Materials Database.

Values from the calculation:
- ρ (g/cm3) = 7.5
- calculated volume (Å³ per atom) = 22.472
- crystal system = cubic
- VASP energy (eV per atom) = -2.833

POSCAR file:
```
AlHgAs
1.0
0.000 3.230 3.230
3.230 0.000 3.230
3.230 3.230 0.000
Al As Hg
1 1 1
Cartesian
0.000 0.000 0.000
1.615 1.615 1.615
4.845 4.845 4.845
```


Record 10
First-principles (PBE-GGA) data for a geometry-optimized Sm2Y2CI3Cl2 structure, as listed in the Open Quantum Materials Database.

Values from the calculation:
- relative energy among the computed polymorphs (meV/atom) = 21.7
- ρ (g/cm3) = 5.3
- calculated volume (Å³ per atom) = 29.474
- crystal system = monoclinic
- VASP energy (eV per atom) = -5.323

POSCAR file:
```
Sm2Y2CI3Cl2
1.0
8.908 -1.973 0.000
8.908 1.973 0.000
-1.925 0.000 8.386
C Cl I Sm Y
1 2 3 2 2
Cartesian
8.908 0.000 0.000
14.560 0.000 1.280
1.330 0.000 7.106
2.364 0.000 2.935
7.945 0.000 4.193
13.526 0.000 5.451
11.307 0.000 0.565
4.584 0.000 7.821
17.399 0.000 1.582
-1.509 0.000 6.804
```


Record 11
First-principles (PBE-GGA) data for a geometry-optimized TbTlZnS3 structure, as listed in the Open Quantum Materials Database.

Values from the calculation:
- relative energy among the computed polymorphs (meV/atom) = 0.0
- ρ (g/cm3) = 5.8
- calculated volume (Å³ per atom) = 25.203
- crystal system = orthorhombic
- VASP energy (eV per atom) = -4.664

POSCAR file:
```
TbTlZnS3
1.0
-0.373 7.718 7.295
-3.052 1.689 -1.943
-9.178 -7.723 7.702
S Tb Tl Zn
12 4 4 4
Cartesian
-2.092 3.987 4.702
-2.317 6.765 7.470
-4.121 1.822 1.903
-5.427 4.739 6.490
-4.321 1.062 5.660
-4.271 -1.862 3.039
-8.332 3.546 10.015
-8.281 0.621 7.394
-7.176 -3.055 6.564
-8.482 -0.138 11.151
-10.286 -5.081 5.584
-10.511 -2.304 8.352
-4.707 3.356 4.157
-4.656 -0.617 0.623
-7.947 2.300 12.431
-7.895 -1.672 8.897
-0.874 2.121 1.165
-5.594 2.164 8.617
-7.009 -0.481 4.437
-11.729 -0.437 11.889
-3.000 4.670 6.721
-3.498 0.236 3.647
-9.105 1.448 9.406
-9.603 -2.987 6.333
```


Record 12
First-principles (PBE-GGA) data for a geometry-optimized LaZnB structure, as listed in the Open Quantum Materials Database.

Values from the calculation:
- ρ (g/cm3) = 5.0
- calculated volume (Å³ per atom) = 23.783
- crystal system = cubic
- VASP energy (eV per atom) = -3.487

POSCAR file:
```
LaZnB
1.0
4.059 -2.269 -0.222
2.945 0.139 3.603
0.685 -3.804 2.595
B La Zn
1 1 1
Cartesian
1.922 -1.483 1.494
0.000 0.000 0.000
5.767 -4.450 4.482
```


Record 13
First-principles (PBE-GGA) data for a geometry-optimized PrZnAg2 structure, as listed in the Open Quantum Materials Database.

Values from the calculation:
- ρ (g/cm3) = 7.9
- calculated volume (Å³ per atom) = 22.306
- crystal system = orthorhombic
- VASP energy (eV per atom) = -3.154

POSCAR file:
```
PrZnAg2
1.0
4.680 0.000 0.000
0.000 5.893 0.000
0.000 0.000 6.470
Ag Pr Zn
4 2 2
Cartesian
0.000 4.378 0.813
0.000 2.152 2.519
2.340 1.515 4.049
2.340 3.741 5.754
2.340 0.666 0.811
0.000 5.227 4.046
2.340 3.737 2.327
0.000 2.156 5.562
```


Record 14
First-principles (PBE-GGA) data for a geometry-optimized BaHgTeO structure, as listed in the Open Quantum Materials Database.

Values from the calculation:
- relative energy among the computed polymorphs (meV/atom) = 174.3
- ρ (g/cm3) = 7.7
- calculated volume (Å³ per atom) = 26.061
- crystal system = tetragonal
- VASP energy (eV per atom) = -3.729

POSCAR file:
```
BaHgTeO
1.0
-3.592 0.535 2.254
-1.907 -3.044 -2.317
3.512 -7.883 7.467
Ba Hg O Te
2 2 2 2
Cartesian
-2.824 -4.800 2.717
0.837 -5.592 4.687
-3.171 -0.360 1.111
-2.328 -2.149 -1.174
0.060 -3.847 3.034
-2.047 -6.546 4.370
-0.618 -2.326 1.593
-1.369 -8.067 5.811
```


Record 15
First-principles (PBE-GGA) data for a geometry-optimized AgSn5Ir3 structure, as listed in the Open Quantum Materials Database.

Values from the calculation:
- ρ (g/cm3) = 10.4
- calculated volume (Å³ per atom) = 22.651
- crystal system = hexagonal
- VASP energy (eV per atom) = -5.490

POSCAR file:
```
AgSn5Ir3
1.0
5.599 0.000 0.000
-2.800 4.849 0.000
0.000 0.000 7.509
Ag Ir Sn
1 3 5
Cartesian
0.000 0.000 0.000
2.800 0.000 3.754
-1.400 2.424 3.754
1.400 2.424 3.754
2.800 1.616 1.531
0.000 3.233 1.531
0.000 0.000 3.754
2.800 1.616 5.978
0.000 3.233 5.978
```


Record 16
First-principles (PBE-GGA) data for a geometry-optimized AcFe structure, as listed in the Open Quantum Materials Database.

Values from the calculation:
- ρ (g/cm3) = 8.4
- calculated volume (Å³ per atom) = 27.923
- crystal system = hexagonal
- VASP energy (eV per atom) = -5.117

POSCAR file:
```
AcFe
1.0
2.369 -4.103 0.000
2.369 4.103 0.000
0.000 0.000 5.747
Ac Fe
2 2
Cartesian
2.369 1.368 2.516
0.000 0.000 5.389
0.000 0.000 2.512
2.369 1.368 5.386
```


Record 17
First-principles (PBE-GGA) data for a geometry-optimized ScPaAu structure, as listed in the Open Quantum Materials Database.

Values from the calculation:
- ρ (g/cm3) = 11.0
- calculated volume (Å³ per atom) = 23.724
- crystal system = cubic
- VASP energy (eV per atom) = -5.929

POSCAR file:
```
ScPaAu
1.0
0.000 3.289 3.289
3.289 0.000 3.289
3.289 3.289 0.000
Au Pa Sc
1 1 1
Cartesian
1.645 1.645 1.645
4.934 4.934 4.934
0.000 0.000 0.000
```


Record 18
First-principles (PBE-GGA) data for a geometry-optimized La2TbCd3AgAu2 structure, as listed in the Open Quantum Materials Database.

Values from the calculation:
- ρ (g/cm3) = 9.5
- calculated volume (Å³ per atom) = 24.676
- crystal system = orthorhombic
- VASP energy (eV per atom) = -3.535

POSCAR file:
```
La2TbCd3AgAu2
1.0
3.969 0.000 0.000
0.000 6.951 4.024
0.000 -6.951 4.024
Ag Au Cd La Tb
1 2 3 2 1
Cartesian
0.000 0.000 8.030
1.985 2.254 4.045
1.985 -2.254 4.045
1.985 0.000 2.096
1.985 1.755 6.990
1.985 -1.755 6.990
0.000 4.105 5.670
0.000 -4.105 5.670
0.000 0.000 4.755
```


Record 19
First-principles (PBE-GGA) data for a geometry-optimized Dy2AsIF structure, as listed in the Open Quantum Materials Database.

Values from the calculation:
- ρ (g/cm3) = 7.5
- calculated volume (Å³ per atom) = 24.261
- crystal system = trigonal
- VASP energy (eV per atom) = -5.452

POSCAR file:
```
Dy2AsIF
1.0
-3.295 -2.238 0.280
1.851 0.397 -3.515
4.936 -7.042 1.804
As Dy F I
1 2 1 1
Cartesian
4.802 -6.851 1.755
-0.812 -2.455 -0.704
4.015 -6.016 -0.832
1.833 -6.228 0.262
2.081 -3.257 -1.539
```


Record 20
First-principles (PBE-GGA) data for a geometry-optimized LiLuZnTe3 structure, as listed in the Open Quantum Materials Database.

Values from the calculation:
- ρ (g/cm3) = 6.0
- calculated volume (Å³ per atom) = 28.862
- crystal system = orthorhombic
- VASP energy (eV per atom) = -3.768

POSCAR file:
```
LiLuZnTe3
1.0
-0.671 -9.398 -6.711
-1.697 -2.171 3.210
-12.941 3.917 -4.192
Li Lu Te Zn
4 4 12 4
Cartesian
-0.354 -1.325 -1.083
-6.652 -4.219 -6.370
-7.808 -2.348 -2.928
-14.106 -5.242 -8.215
-4.376 -4.810 -2.779
-4.796 -9.483 -6.162
-9.664 2.917 -3.136
-10.084 -1.757 -6.519
-2.019 -8.248 -6.646
-1.779 -4.807 -4.192
-3.084 -2.780 -0.723
-5.750 -6.774 -4.834
-5.103 1.000 -2.022
-5.354 -2.438 -4.479
-9.106 -4.129 -4.819
-9.357 -7.566 -7.277
-8.710 0.208 -4.465
-11.376 -3.786 -8.575
-12.681 -1.759 -5.107
-12.441 1.682 -2.653
-3.338 -6.050 -5.856
-3.784 -1.114 -2.754
-10.676 -5.452 -6.544
-11.122 -0.516 -3.442
```